{
  "formula": "KIn3",
  "functional": "PBEsol",
  "state": "relaxed",
  "lattice_angstrom": [[0.000, 3.789, 3.789], [3.789, 0.000, 3.789], [3.789, 3.789, 0.000]],
  "species": ["K", "In", "In", "In"],
  "frac_coords": [[0.000, 0.000, 0.000], [0.250, 0.250, 0.250], [0.500, 0.500, 0.500], [0.750, 0.750, 0.750]],
  "spacegroup": "Fm-3m, No. 225",
  "total_energy_ev_per_cell": -10.19,
  "n_ef_per_ev_atom": 0.27,
  "ef_mev_per_atom": -26
}

***

{
  "formula": "K2In",
  "functional": "PBEsol",
  "state": "relaxed",
  "lattice_angstrom": [[5.556, -4.647, 0.000], [5.556, 4.647, 0.000], [-3.334, 0.000, 5.101]],
  "species": ["K", "K", "K", "K", "In", "In"],
  "frac_coords": [[0.000, 0.333, 0.167], [0.000, 0.667, 0.833], [0.333, 0.000, 0.667], [0.667, 0.000, 0.333], [0.500, 0.500, 0.250], [0.500, 0.500, 0.750]],
  "spacegroup": "C2/c, No. 15",
  "total_energy_ev_per_cell": -10.62,
  "n_ef_per_ev_atom": 0.52,
  "ef_mev_per_atom": -20
}

***

{
  "formula": "K2In",
  "functional": "PBEsol",
  "state": "relaxed",
  "lattice_angstrom": [[6.816, -2.159, 0.000], [6.816, 2.159, 0.000], [-3.478, 0.000, 9.552]],
  "species": ["K", "K", "K", "K", "In", "In"],
  "frac_coords": [[0.019, 0.019, 0.182], [0.326, 0.326, 0.355], [0.674, 0.674, 0.645], [0.981, 0.981, 0.818], [0.301, 0.301, 0.949], [0.699, 0.699, 0.051]],
  "spacegroup": "C2/m, No. 12",
  "total_energy_ev_per_cell": -10.63,
  "n_ef_per_ev_atom": 0.87,
  "ef_mev_per_atom": -22
}

***

{
  "formula": "KIn4",
  "functional": "PBEsol",
  "state": "relaxed",
  "lattice_angstrom": [[-3.551, 3.551, 3.551], [3.551, -3.551, 3.551], [3.551, 3.551, -3.551]],
  "species": ["K", "In", "In", "In", "In"],
  "frac_coords": [[0.000, 0.000, 0.000], [0.000, 0.000, 0.500], [0.000, 0.500, 0.000], [0.500, 0.000, 0.000], [0.500, 0.500, 0.500]],
  "spacegroup": "Im-3m, No. 229",
  "total_energy_ev_per_cell": -9.94,
  "n_ef_per_ev_atom": 0.96,
  "ef_mev_per_atom": 624
}

***

{
  "formula": "KIn2",
  "functional": "PBEsol",
  "state": "relaxed",
  "lattice_angstrom": [[0.000, 4.439, 4.439], [4.439, 0.000, 4.439], [4.439, 4.439, 0.000]],
  "species": ["K", "K", "In", "In", "In", "In"],
  "frac_coords": [[0.125, 0.125, 0.125], [0.875, 0.875, 0.875], [0.000, 0.500, 0.500], [0.500, 0.000, 0.500], [0.500, 0.500, 0.000], [0.500, 0.500, 0.500]],
  "spacegroup": "Fd-3m, No. 227",
  "total_energy_ev_per_cell": -14.93,
  "n_ef_per_ev_atom": 0.53,
  "ef_mev_per_atom": -123
}

***

{
  "formula": "KIn",
  "functional": "PBEsol",
  "state": "relaxed",
  "lattice_angstrom": [[3.932, 0.000, 0.000], [0.000, 3.932, 0.000], [0.000, 0.000, 10.202]],
  "species": ["K", "K", "In", "In"],
  "frac_coords": [[0.250, 0.250, 0.196], [0.750, 0.750, 0.804], [0.250, 0.250, 0.574], [0.750, 0.750, 0.426]],
  "spacegroup": "P4/nmm, No. 129",
  "total_energy_ev_per_cell": -8.39,
  "n_ef_per_ev_atom": 0.59,
  "ef_mev_per_atom": -40
}

***

{
  "formula": "KIn",
  "functional": "PBEsol",
  "state": "relaxed",
  "lattice_angstrom": [[-2.486, 3.060, 4.710], [2.486, -3.060, 4.710], [2.486, 3.060, -4.710]],
  "species": ["K", "K", "In", "In"],
  "frac_coords": [[0.351, 0.101, 0.250], [0.649, 0.899, 0.750], [0.072, 0.322, 0.750], [0.928, 0.678, 0.250]],
  "spacegroup": "Imma, No. 74",
  "total_energy_ev_per_cell": -8.47,
  "n_ef_per_ev_atom": 0.23,
  "ef_mev_per_atom": -61
}

***

{
  "formula": "K5In",
  "functional": "PBEsol",
  "state": "relaxed",
  "lattice_angstrom": [[7.597, 0.000, 0.000], [-3.798, 6.579, 0.000], [0.000, 0.000, 7.362]],
  "species": ["K", "K", "K", "K", "K", "In"],
  "frac_coords": [[0.000, 0.500, 0.000], [0.333, 0.667, 0.500], [0.500, 0.000, 0.000], [0.500, 0.500, 0.000], [0.667, 0.333, 0.500], [0.000, 0.000, 0.500]],
  "spacegroup": "P6/mmm, No. 191",
  "total_energy_ev_per_cell": -6.99,
  "n_ef_per_ev_atom": 0.98,
  "ef_mev_per_atom": 276
}

***

{
  "formula": "K5In",
  "functional": "PBEsol",
  "state": "relaxed",
  "lattice_angstrom": [[7.583, -2.303, 0.000], [7.583, 2.303, 0.000], [-3.667, 0.000, 9.534]],
  "species": ["K", "K", "K", "K", "K", "In"],
  "frac_coords": [[0.000, 0.000, 0.000], [0.018, 0.018, 0.410], [0.361, 0.361, 0.633], [0.703, 0.703, 0.848], [0.726, 0.726, 0.261], [0.361, 0.361, 0.126]],
  "spacegroup": "Cm, No. 8",
  "total_energy_ev_per_cell": -8.43,
  "n_ef_per_ev_atom": 0.79,
  "ef_mev_per_atom": 36
}

***

{
  "formula": "KIn2",
  "functional": "PBEsol",
  "state": "relaxed",
  "lattice_angstrom": [[6.413, -1.856, 0.000], [6.413, 1.856, 0.000], [-3.094, 0.000, 7.867]],
  "species": ["K", "K", "In", "In", "In", "In"],
  "frac_coords": [[0.151, 0.151, 0.107], [0.849, 0.849, 0.893], [0.157, 0.157, 0.531], [0.467, 0.467, 0.296], [0.533, 0.533, 0.704], [0.843, 0.843, 0.469]],
  "spacegroup": "C2/m, No. 12",
  "total_energy_ev_per_cell": -14.69,
  "n_ef_per_ev_atom": 0.49,
  "ef_mev_per_atom": -83
}

***

{
  "formula": "K2LaIn",
  "functional": "PBEsol",
  "state": "relaxed",
  "lattice_angstrom": [[3.935, 0.000, 0.000], [0.000, 3.935, 0.000], [0.000, 0.000, 11.484]],
  "species": ["K", "K", "La", "In"],
  "frac_coords": [[0.000, 0.000, 0.000], [0.500, 0.500, 0.344], [0.000, 0.000, 0.644], [0.500, 0.500, 0.790]],
  "spacegroup": "P4mm, No. 99",
  "total_energy_ev_per_cell": -10.63,
  "n_ef_per_ev_atom": 0.88,
  "ef_mev_per_atom": -8
}

***

{
  "formula": "KLa2In",
  "functional": "PBEsol",
  "state": "relaxed",
  "lattice_angstrom": [[3.579, -5.477, 0.000], [3.579, 5.477, 0.000], [0.000, 0.000, 3.299]],
  "species": ["K", "La", "La", "In"],
  "frac_coords": [[0.000, 0.000, 0.000], [0.000, 0.500, 0.500], [0.500, 0.000, 0.500], [0.500, 0.500, 0.000]],
  "spacegroup": "Cmmm, No. 65",
  "total_energy_ev_per_cell": -14.13,
  "n_ef_per_ev_atom": 1.19,
  "ef_mev_per_atom": 171
}

***

{
  "formula": "KLa2In",
  "functional": "PBEsol",
  "state": "relaxed",
  "lattice_angstrom": [[0.000, 4.020, 4.020], [4.020, 0.000, 4.020], [4.020, 4.020, 0.000]],
  "species": ["K", "La", "La", "In"],
  "frac_coords": [[0.000, 0.000, 0.000], [0.250, 0.250, 0.250], [0.500, 0.500, 0.500], [0.750, 0.750, 0.750]],
  "spacegroup": "F-43m, No. 216",
  "total_energy_ev_per_cell": -13.92,
  "n_ef_per_ev_atom": 1.14,
  "ef_mev_per_atom": 222
}

***

{
  "formula": "K2LaInNi",
  "functional": "PBEsol",
  "state": "relaxed",
  "lattice_angstrom": [[5.816, 0.000, 0.000], [0.000, 5.816, 0.000], [0.000, 0.000, 5.203]],
  "species": ["K", "K", "La", "In", "Ni"],
  "frac_coords": [[0.000, 0.500, 0.000], [0.500, 0.000, 0.000], [0.000, 0.000, 0.500], [0.500, 0.500, 0.500], [0.000, 0.000, 0.000]],
  "spacegroup": "P4/mmm, No. 123",
  "total_energy_ev_per_cell": -14.70,
  "n_ef_per_ev_atom": 0.95,
  "ef_mev_per_atom": 411
}

***

{
  "formula": "KLiIn2",
  "functional": "PBEsol",
  "state": "relaxed",
  "lattice_angstrom": [[0.000, 3.783, 3.783], [3.783, 0.000, 3.783], [3.783, 3.783, 0.000]],
  "species": ["K", "Li", "In", "In"],
  "frac_coords": [[0.000, 0.000, 0.000], [0.500, 0.500, 0.500], [0.250, 0.250, 0.250], [0.750, 0.750, 0.750]],
  "spacegroup": "Fm-3m, No. 225",
  "total_energy_ev_per_cell": -8.93,
  "n_ef_per_ev_atom": 0.63,
  "ef_mev_per_atom": 33
}

***

{
  "formula": "KLiIn",
  "functional": "PBEsol",
  "state": "relaxed",
  "lattice_angstrom": [[-1.900, 1.900, 6.326], [1.900, -1.900, 6.326], [1.900, 1.900, -6.326]],
  "species": ["K", "Li", "In"],
  "frac_coords": [[0.000, 0.000, 0.000], [0.724, 0.724, 0.000], [0.295, 0.295, 0.000]],
  "spacegroup": "I4mm, No. 107",
  "total_energy_ev_per_cell": -6.24,
  "n_ef_per_ev_atom": 0.64,
  "ef_mev_per_atom": -51
}

***

{
  "formula": "KLiIn2",
  "functional": "PBEsol",
  "state": "relaxed",
  "lattice_angstrom": [[3.737, 0.000, 0.000], [0.000, 3.737, 0.000], [0.000, 0.000, 8.237]],
  "species": ["K", "Li", "In", "In"],
  "frac_coords": [[0.000, 0.000, 0.000], [0.500, 0.500, 0.342], [0.000, 0.000, 0.490], [0.500, 0.500, 0.703]],
  "spacegroup": "P4mm, No. 99",
  "total_energy_ev_per_cell": -9.45,
  "n_ef_per_ev_atom": 0.36,
  "ef_mev_per_atom": -95
}

***

{
  "formula": "KLiIn2",
  "functional": "PBEsol",
  "state": "relaxed",
  "lattice_angstrom": [[3.447, 0.000, 0.000], [0.000, 3.523, 0.000], [0.000, 0.000, 8.525]],
  "species": ["K", "Li", "In", "In"],
  "frac_coords": [[0.000, 0.000, 0.000], [0.000, 0.000, 0.500], [0.500, 0.500, 0.317], [0.500, 0.500, 0.683]],
  "spacegroup": "Pmmm, No. 47",
  "total_energy_ev_per_cell": -9.66,
  "n_ef_per_ev_atom": 0.51,
  "ef_mev_per_atom": -148
}

***

{
  "formula": "KLiIn",
  "functional": "PBEsol",
  "state": "relaxed",
  "lattice_angstrom": [[0.000, 3.715, 3.715], [3.715, 0.000, 3.715], [3.715, 3.715, 0.000]],
  "species": ["K", "Li", "In"],
  "frac_coords": [[0.000, 0.000, 0.000], [0.250, 0.250, 0.250], [0.500, 0.500, 0.500]],
  "spacegroup": "F-43m, No. 216",
  "total_energy_ev_per_cell": -5.47,
  "n_ef_per_ev_atom": 0.73,
  "ef_mev_per_atom": 205
}

***

{
  "formula": "K2LiInMo3O12",
  "functional": "PBEsol",
  "state": "relaxed",
  "lattice_angstrom": [[7.014, 0.000, 0.000], [0.000, 9.223, 0.000], [-2.965, 0.000, 9.643]],
  "species": ["K", "K", "K", "K", "Li", "Li", "In", "In", "Mo", "Mo", "Mo", "Mo", "Mo", "Mo", "O", "O", "O", "O", "O", "O", "O", "O", "O", "O", "O", "O", "O", "O", "O", "O", "O", "O", "O", "O", "O", "O", "O", "O"],
  "frac_coords": [[0.050, 0.000, 0.083], [0.339, 0.494, 0.704], [0.661, 0.994, 0.296], [0.950, 0.500, 0.917], [0.450, 0.842, 0.630], [0.550, 0.342, 0.370], [0.221, 0.086, 0.763], [0.779, 0.586, 0.237], [0.072, 0.277, 0.421], [0.305, 0.659, 0.312], [0.452, 0.777, 0.959], [0.548, 0.277, 0.041], [0.695, 0.159, 0.688], [0.928, 0.777, 0.579], [0.031, 0.118, 0.326], [0.066, 0.594, 0.207], [0.122, 0.242, 0.602], [0.141, 0.894, 0.639], [0.283, 0.365, 0.404], [0.288, 0.641, 0.972], [0.323, 0.682, 0.487], [0.328, 0.272, 0.893], [0.328, 0.950, 0.944], [0.334, 0.830, 0.249], [0.478, 0.240, 0.190], [0.489, 0.053, 0.705], [0.511, 0.553, 0.295], [0.522, 0.740, 0.810], [0.666, 0.330, 0.751], [0.672, 0.450, 0.056], [0.672, 0.772, 0.107], [0.677, 0.182, 0.513], [0.712, 0.141, 0.028], [0.717, 0.865, 0.596], [0.859, 0.394, 0.361], [0.878, 0.742, 0.398], [0.934, 0.094, 0.793], [0.969, 0.618, 0.674]],
  "spacegroup": "P2_1, No. 4",
  "raw_formation_energy_ev_per_atom": -2.041,
  "total_energy_ev_per_cell": -288.57,
  "n_ef_per_ev_atom": 0.00
}

***

{
  "formula": "K4MgIn",
  "functional": "PBEsol",
  "state": "relaxed",
  "lattice_angstrom": [[0.000, 5.118, 5.118], [5.118, 0.000, 5.118], [5.118, 5.118, 0.000]],
  "species": ["K", "K", "K", "K", "Mg", "In"],
  "frac_coords": [[0.125, 0.125, 0.125], [0.125, 0.125, 0.626], [0.125, 0.626, 0.125], [0.626, 0.125, 0.125], [0.500, 0.500, 0.500], [0.750, 0.750, 0.750]],
  "spacegroup": "F-43m, No. 216",
  "total_energy_ev_per_cell": -7.13,
  "n_ef_per_ev_atom": 1.02,
  "ef_mev_per_atom": 350
}

***

{
  "formula": "KMg2In2",
  "functional": "PBEsol",
  "state": "relaxed",
  "lattice_angstrom": [[-2.403, 2.403, 6.327], [2.403, -2.403, 6.327], [2.403, 2.403, -6.327]],
  "species": ["K", "Mg", "Mg", "In", "In"],
  "frac_coords": [[0.000, 0.000, 0.000], [0.250, 0.750, 0.500], [0.750, 0.250, 0.500], [0.387, 0.387, 0.000], [0.613, 0.613, 0.000]],
  "spacegroup": "I4/mmm, No. 139",
  "total_energy_ev_per_cell": -10.81,
  "n_ef_per_ev_atom": 0.65,
  "ef_mev_per_atom": -56
}

***

{
  "formula": "K2MgIn",
  "functional": "PBEsol",
  "state": "relaxed",
  "lattice_angstrom": [[0.000, 4.053, 4.053], [4.053, 0.000, 4.053], [4.053, 4.053, 0.000]],
  "species": ["K", "K", "Mg", "In"],
  "frac_coords": [[0.000, 0.000, 0.000], [0.250, 0.250, 0.250], [0.500, 0.500, 0.500], [0.750, 0.750, 0.750]],
  "spacegroup": "F-43m, No. 216",
  "total_energy_ev_per_cell": -6.65,
  "n_ef_per_ev_atom": 1.19,
  "ef_mev_per_atom": 78
}

***

{
  "formula": "K2MgIn",
  "functional": "PBEsol",
  "state": "relaxed",
  "lattice_angstrom": [[4.276, 0.000, 0.000], [0.000, 5.306, 0.000], [-2.144, 0.000, 7.032]],
  "species": ["K", "K", "Mg", "In"],
  "frac_coords": [[0.000, 0.000, 0.000], [0.326, 0.500, 0.650], [0.622, 0.500, 0.244], [0.712, 0.000, 0.421]],
  "spacegroup": "Pm, No. 6",
  "total_energy_ev_per_cell": -6.65,
  "n_ef_per_ev_atom": 0.75,
  "ef_mev_per_atom": 80
}

***

{
  "formula": "K2MgIn",
  "functional": "PBEsol",
  "state": "relaxed",
  "lattice_angstrom": [[4.519, -2.627, 0.000], [4.519, 2.627, 0.000], [-3.030, 0.000, 6.764]],
  "species": ["K", "K", "Mg", "In"],
  "frac_coords": [[0.000, 0.000, 0.000], [0.207, 0.207, 0.617], [0.438, 0.438, 0.311], [0.771, 0.771, 0.311]],
  "spacegroup": "Cm, No. 8",
  "total_energy_ev_per_cell": -6.87,
  "n_ef_per_ev_atom": 0.86,
  "ef_mev_per_atom": 23
}

***

{
  "formula": "KMg2In2",
  "functional": "PBEsol",
  "state": "relaxed",
  "lattice_angstrom": [[9.190, 0.000, 0.000], [0.000, 9.190, 0.000], [0.000, 0.000, 3.162]],
  "species": ["K", "K", "Mg", "Mg", "Mg", "Mg", "In", "In", "In", "In"],
  "frac_coords": [[0.000, 0.000, 0.000], [0.500, 0.500, 0.000], [0.137, 0.363, 0.500], [0.363, 0.863, 0.500], [0.637, 0.137, 0.500], [0.863, 0.637, 0.500], [0.154, 0.654, 0.000], [0.346, 0.154, 0.000], [0.654, 0.846, 0.000], [0.846, 0.346, 0.000]],
  "spacegroup": "P4/mbm, No. 127",
  "total_energy_ev_per_cell": -21.91,
  "n_ef_per_ev_atom": 0.51,
  "ef_mev_per_atom": -84
}

***

{
  "formula": "K2MgIn",
  "functional": "PBEsol",
  "state": "relaxed",
  "lattice_angstrom": [[-2.289, 3.081, 5.502], [2.289, -3.081, 5.502], [2.289, 3.081, -5.502]],
  "species": ["K", "K", "Mg", "In"],
  "frac_coords": [[0.000, 0.000, 0.000], [0.703, 0.203, 0.500], [0.282, 0.782, 0.500], [0.438, 0.438, 0.000]],
  "spacegroup": "Imm2, No. 44",
  "total_energy_ev_per_cell": -6.71,
  "n_ef_per_ev_atom": 0.57,
  "ef_mev_per_atom": 65
}